Compound: BeNb2As
Source: Alexandria
Functional: GGA-PBE
Structure: optimized geometry

Properties
Energy of formation from the pure elements = 7 meV/atom
Relative energy among the computed polymorphs = 0.492 eV/atom
DFT total energy = -7.1219 eV/atom
Space group = No. 225

Cell lengths 4.4209, 4.4209, 4.4209 Å; angles 60.00, 60.00, 60.00 degrees
Closest atoms and distances in Å follow each position.
Sites, in units of the cell vectors:
1 Be 0.0000 0.0000 0.0000  8 Nb 2.71
2 Nb 0.2500 0.2500 0.2500  4 As 2.71, 4 Be 2.71
3 Nb 0.7500 0.7500 0.7500  4 As 2.71, 4 Be 2.71
4 As 0.5000 0.5000 0.5000  8 Nb 2.71



Compound: HfTaAs
Source: Alexandria
Functional: GGA-PBE
Structure: optimized geometry

Properties
Energy of formation from the pure elements = -352 meV/atom
DFT total energy = -9.1701 eV/atom
Space group = No. 12

Cell lengths 7.5531, 7.5531, 9.8391 Å; angles 103.04, 103.04, 24.97 degrees
Closest atoms and distances in Å follow each position.
Sites, in units of the cell vectors:
1 Hf 0.0637 0.0637 0.1616  6 As 2.81-2.92, 1 Ta 2.98
2 Hf 0.4318 0.4318 0.3359  3 As 2.62-2.77, 1 Ta 2.81
3 Hf 0.5682 0.5682 0.6641  3 As 2.62-2.77, 1 Ta 2.81
4 Hf 0.9363 0.9363 0.8384  6 As 2.81-2.92, 1 Ta 2.98
5 Ta 0.2341 0.2341 0.8641  3 As 2.69-2.82, 2 Ta 2.87
6 Ta 0.2470 0.2470 0.3673  3 As 2.65, 1 Hf 2.81, 2 Ta 2.87
7 Ta 0.7530 0.7530 0.6327  3 As 2.65, 1 Hf 2.81, 2 Ta 2.87
8 Ta 0.7659 0.7659 0.1359  3 As 2.69-2.82, 2 Ta 2.87
9 As 0.3859 0.3859 0.5934  4 Hf 2.62-2.86, 3 Ta 2.65
10 As 0.3988 0.3988 0.0519  3 Ta 2.69-2.82, 5 Hf 2.72-2.92
11 As 0.6012 0.6012 0.9481  3 Ta 2.69-2.82, 5 Hf 2.72-2.92
12 As 0.6141 0.6141 0.4066  4 Hf 2.62-2.86, 3 Ta 2.65